Cr2FeSeO | PBE+U | optimized geometry

Computed properties:
Total DFT energy (no corrections) ... -0.18029 hartree per atom
Calculated volume ... 111 Å³ per cell
Density ... 3.8 g/cm3
N(E_F) ... 4.60 states/eV/f.u.
Crystal system ... tetragonal

Unit cell a=5.0540 b=5.0540 c=4.3607 alpha=90.00 beta=90.00 gamma=90.00
Last column: nearest neighbours and their distance in Å.
Space group P4/mmm (No. 123)
Asymmetric unit:
Cr: 0.0000 0.5000 0.0000 [2 per cell]  2 Fe 2.53
Fe: 0.0000 0.0000 0.0000 [1 per cell]  2 Se 2.18
Se: 0.0000 0.0000 0.5000 [1 per cell]  2 Fe 2.18
O: 0.5000 0.5000 0.5000 [1 per cell]  8 Cr 3.34, 4 Se 3.57